1.
VASP calculation (PBE-GGA) on a geometry-optimized Pu2MgZn3Au12 structure.

Cell: 10.466 10.466 10.466 Å, 38.25 38.25 38.25°
Positions (direct):
Pu1 0.639 0.639 0.639
Pu2 0.361 0.361 0.361
Mg1 0.000 0.000 0.000
Zn1 0.500 0.000 0.000
Zn2 0.000 0.500 0.000
Zn3 0.000 0.000 0.500
Au1 0.409 0.409 0.818
Au2 0.874 0.874 0.421
Au3 0.421 0.874 0.874
Au4 0.818 0.409 0.409
Au5 0.874 0.421 0.874
Au6 0.409 0.818 0.409
Au7 0.591 0.591 0.182
Au8 0.126 0.126 0.579
Au9 0.579 0.126 0.126
Au10 0.182 0.591 0.591
Au11 0.126 0.579 0.126
Au12 0.591 0.182 0.591

crystal system: trigonal
calculated formation energy: -0.12 eV/atom
ρ: 12.93 g cm⁻³
magnetic moment: 10.9 μB per formula unit

---

2.
VASP calculation (PBE-GGA) on a geometry-optimized Pu2MgZn3Au4 structure.

Cell: 4.196 4.196 11.812 Å, 90.00 90.00 90.00°
Positions (direct):
Pu1 0.500 0.000 0.239
Pu2 0.000 0.500 0.761
Mg1 0.500 0.500 0.500
Zn1 0.000 0.000 0.500
Zn2 0.500 0.000 0.866
Zn3 0.000 0.500 0.134
Au1 0.500 0.500 0.000
Au2 0.000 0.000 0.000
Au3 0.500 0.000 0.648
Au4 0.000 0.500 0.352

crystal system: tetragonal
calculated formation energy: -0.33 eV/atom
ρ: 11.95 g cm⁻³
magnetic moment: 11.6 μB per formula unit

---

3.
VASP calculation (PBE-GGA) on a geometry-optimized RbMg2Au structure.

Cell: 6.348 6.348 9.381 Å, 70.22 70.22 90.00°
Positions (direct):
Mg1 0.875 0.125 0.250
Mg2 0.875 0.625 0.250
Mg3 0.375 0.125 0.750
Mg4 0.875 0.125 0.750
Au1 0.000 0.000 0.000
Au2 0.750 0.250 0.500
Rb1 0.500 0.500 0.000
Rb2 0.250 0.750 0.500

crystal system: tetragonal
relative energy among the computed polymorphs: 0 meV/atom
calculated formation energy: -0.02 eV/atom
ρ: 3.31 g cm⁻³
magnetic moment: 0.0 μB per formula unit